Entry 1:
A relaxed EuBeCu3 crystal, computed with GGA-PBE.

Unit cell a=4.3516 b=4.3516 c=4.3516 alpha=90.00 beta=90.00 gamma=90.00
With the nearest neighbours (Å) after each atom.
Atoms (fractional coordinates):
1 Eu 0.0000 0.0000 0.0000  12 Cu 3.08
2 Be 0.5000 0.5000 0.5000  6 Cu 2.18
3 Cu 0.0000 0.5000 0.5000  2 Be 2.18
4 Cu 0.5000 0.0000 0.5000  2 Be 2.18
5 Cu 0.5000 0.5000 0.0000  2 Be 2.18

Summary:
space group = No. 221
E_form = 0.308 eV per formula unit
DOS(E_F) = 12.9 states/eV per cell
crystal system = cubic
VASP energy = -5.20 eV/atom



Entry 2:
A relaxed BeCuF4 crystal, computed with GGA-PBE.

Unit cell a=4.1922 b=4.1922 c=8.8748 alpha=90.00 beta=90.00 gamma=90.00
With the nearest neighbours (Å) after each atom.
Atoms (fractional coordinates):
1 Be 0.0000 0.5000 0.2500  4 F 1.57
2 Be 0.5000 0.0000 0.7500  4 F 1.57
3 Cu 0.0000 0.0000 0.0000  4 F 1.94
4 Cu 0.0000 0.0000 0.5000  4 F 1.94
5 F 0.2040 0.2823 0.3562  1 Be 1.57
6 F 0.2040 0.7177 0.1438  1 Be 1.57
7 F 0.2823 0.2040 0.8562  1 Be 1.57
8 F 0.2823 0.7960 0.6438  1 Be 1.57
9 F 0.7177 0.2040 0.6438  1 Be 1.57
10 F 0.7177 0.7960 0.8562  1 Be 1.57
11 F 0.7960 0.2823 0.1438  1 Be 1.57
12 F 0.7960 0.7177 0.3562  1 Be 1.57

Summary:
space group = No. 112
DOS(E_F) = 12.0 states/eV per cell
crystal system = tetragonal
VASP energy = -4.77 eV/atom



Copy entry 1 word for word.
A relaxed EuBeCu3 crystal, computed with GGA-PBE.

Unit cell a=4.3516 b=4.3516 c=4.3516 alpha=90.00 beta=90.00 gamma=90.00
With the nearest neighbours (Å) after each atom.
Atoms (fractional coordinates):
1 Eu 0.0000 0.0000 0.0000  12 Cu 3.08
2 Be 0.5000 0.5000 0.5000  6 Cu 2.18
3 Cu 0.0000 0.5000 0.5000  2 Be 2.18
4 Cu 0.5000 0.0000 0.5000  2 Be 2.18
5 Cu 0.5000 0.5000 0.0000  2 Be 2.18

Summary:
space group = No. 221
E_form = 0.308 eV per formula unit
DOS(E_F) = 12.9 states/eV per cell
crystal system = cubic
VASP energy = -5.20 eV/atom



- Which of these has the highest VASP energy?
  BeCuF4



- Which value of VASP energy does entry 1 give?
  -5.20 eV/atom